The following is a PBE+U calculation of crystalline CaEuNi4O12 at its relaxed geometry, from Alexandria via LeMat-Bulk.

abc: 5.339 5.339 7.614
angles: 90.00 90.00 90.00
Space group P4/mmm (No. 123)
Asymmetric unit:
Ca 0.000 0.000 0.000
Eu 0.500 0.500 0.500
Ni 0.000 0.500 0.248
O 0.000 0.500 0.000
O 0.000 0.500 0.500
O 0.254 0.254 0.256

Output
E_tot in eV per atom: -5.18
Total moment in Bohr magnetons per cell: 16.717
Crystal system: tetragonal